(1)
# BaMg2Bi2 | the Alexandria database | PBE-GGA | optimized geometry
data_BaMg2Bi2
_symmetry_space_group_name_H-M 'P 1'
_symmetry_Int_Tables_number 1
_cell_length_a 8.9405
_cell_length_b 8.9405
_cell_length_c 3.8535
_cell_angle_alpha 90.00
_cell_angle_beta 90.00
_cell_angle_gamma 90.00
loop_
_symmetry_equiv_pos_as_xyz
'x,y,z'
loop_
_atom_site_label
_atom_site_type_symbol
_atom_site_fract_x
_atom_site_fract_y
_atom_site_fract_z
_atom_site_occupancy
Bi1 Bi 0.1762 0.6762 0.5000 1
Bi2 Bi 0.3238 0.1762 0.5000 1
Bi3 Bi 0.6762 0.8238 0.5000 1
Ba1 Ba 0.5000 0.5000 0.0000 1
Ba2 Ba 0.0000 0.0000 0.0000 1
Bi4 Bi 0.8238 0.3238 0.5000 1
Mg1 Mg 0.6184 0.1184 0.0000 1
Mg2 Mg 0.8816 0.6184 0.0000 1
Mg3 Mg 0.1184 0.3816 0.0000 1
Mg4 Mg 0.3816 0.8816 0.0000 1
# Offset from the most stable computed form, meV/atom: 243.8
# N(E_F), states/eV per cell: 3.671
# Calculated total energy, eV per atom: -2.942
# Magnetization, μB per cell: 0.00


(2)
# BaMgBi2 | the Alexandria database | PBE-GGA | optimized geometry
data_BaMgBi2
_symmetry_space_group_name_H-M 'P 1'
_symmetry_Int_Tables_number 1
_cell_length_a 4.8679
_cell_length_b 5.2230
_cell_length_c 5.2230
_cell_angle_alpha 90.00
_cell_angle_beta 90.00
_cell_angle_gamma 90.00
loop_
_symmetry_equiv_pos_as_xyz
'x,y,z'
loop_
_atom_site_label
_atom_site_type_symbol
_atom_site_fract_x
_atom_site_fract_y
_atom_site_fract_z
_atom_site_occupancy
Bi1 Bi 0.0000 0.0000 0.5000 1
Ba1 Ba 0.5000 0.0000 0.0000 1
Bi2 Bi 0.0000 0.5000 0.0000 1
Mg1 Mg 0.5000 0.5000 0.5000 1
# N(E_F), states/eV per cell: 2.156
# Calculated total energy, eV per atom: -3.253
# Magnetization, μB per cell: 0.00


Q: What is the formula in the second record?
A: BaMgBi2


Q: Which value of N(E_F) does entry 2 give?
A: 2.156 states/eV per cell


Q: The highest N(E_F) belongs to which entry?
A: BaMg2Bi2


Q: Look up the N(E_F) of the first one.
A: 3.671 states/eV per cell